A plane-wave DFT calculation with PBE-GGA was carried out for an optimized crystal structure of Sc2B2AsRh5.

Summary:
Theoretical density (g cm⁻³): 8.58
Spin magnetization (μB per formula unit): 0.00
D(E_F) (states/eV per cell): 4.42
Calculated total energy (eV per cell): -151.409

a b c (Å): 9.2252 9.2252 3.1865
angles (deg): 90.00 90.00 90.00
Closest atoms and distances in Å follow each position.
Space group P4/mbm (No. 127)
Inequivalent atoms, fractional coordinates:
Sc1 0.1739 0.3261 0.0000 x4  3 B 2.65-2.78, 10 Rh 2.77-2.95
B1 0.1228 0.6228 0.0000 x4  6 Rh 2.23-2.26
As1 0.0000 0.0000 0.0000 x2  8 Rh 2.64
Rh1 0.0000 0.5000 0.5000 x2  4 B 2.26
Rh2 0.0724 0.7838 0.5000 x8  2 B 2.23